# 1
Crystalline LaNbZnS at its relaxed geometry. Source: Alexandria, functional PBE.

Cell: 3.964 3.964 5.508 Å, 90.00 90.00 90.00°
Fractional positions:
La  0.000  0.000  0.000
Nb  0.500  0.500  0.500
Zn  0.000  0.000  0.500
S  0.500  0.500  0.000

Results
Space-group type ... P4/mmm, No. 123
Final energy ... -22.7 eV/f.u.
Calculated volume ... 86.6 Å³/cell
Size of the total moment ... 0.01 μB/f.u.
E_form (uncorrected) ... -2.333 eV per formula unit

=====

# 2
Crystalline HgTePd2 at its relaxed geometry. Source: Alexandria, functional PBE.

Cell: 7.010 7.010 7.010 Å, 37.89 37.89 37.89°
Fractional positions:
Hg  0.000  0.000  0.000
Te  0.500  0.500  0.500
Pd  0.139  0.139  0.139
Pd  0.861  0.861  0.861

Results
Space-group type ... R-3m, No. 166
Final energy ... -14.2 eV/f.u.
Calculated volume ... 116.6 Å³/cell
Size of the total moment ... 0.00 μB/f.u.
E_form (uncorrected) ... -0.366 eV per formula unit

=====

# 3
Crystalline Rb5Ag at its relaxed geometry. Source: Alexandria, functional PBE.

Cell: 13.781 5.364 11.522 Å, 90.00 90.00 90.00°
Fractional positions:
Rb  0.000  0.000  0.000
Rb  0.082  0.500  0.313
Rb  0.250  0.000  0.597
Rb  0.250  0.500  0.957
Rb  0.418  0.500  0.313
Rb  0.500  0.000  0.000
Rb  0.582  0.500  0.687
Rb  0.750  0.000  0.403
Rb  0.750  0.500  0.043
Rb  0.918  0.500  0.687
Ag  0.250  0.000  0.188
Ag  0.750  0.000  0.812

Results
Space-group type ... Pmma, No. 51
Final energy ... -7.4 eV/f.u.
Calculated volume ... 851.6 Å³/cell
Size of the total moment ... 0.00 μB/f.u.

=====

# 4
Crystalline Dy3Cd2Ru at its relaxed geometry. Source: Alexandria, functional PBE.

Cell: 7.921 7.921 7.577 Å, 90.00 90.00 142.84°
Fractional positions:
Dy  0.000  0.000  0.230
Dy  0.000  0.000  0.770
Dy  0.326  0.674  0.220
Dy  0.326  0.674  0.780
Dy  0.674  0.326  0.220
Dy  0.674  0.326  0.780
Cd  0.166  0.834  0.500
Cd  0.500  0.500  0.000
Cd  0.500  0.500  0.500
Cd  0.834  0.166  0.500
Ru  0.163  0.837  0.000
Ru  0.837  0.163  0.000

Results
Space-group type ... Cmmm, No. 65
Final energy ... -27.1 eV/f.u.
Calculated volume ... 287.1 Å³/cell
Size of the total moment ... 0.00 μB/f.u.

=====

# 5
Crystalline HoTmPb2 at its relaxed geometry. Source: Alexandria, functional PBE.

Cell: 3.530 3.530 8.872 Å, 90.00 90.00 90.00°
Fractional positions:
Ho  0.000  0.000  0.000
Tm  0.000  0.000  0.500
Pb  0.500  0.500  0.252
Pb  0.500  0.500  0.748

Results
Space-group type ... P4/mmm, No. 123
Final energy ... -18.0 eV/f.u.
Calculated volume ... 110.5 Å³/cell
Size of the total moment ... 0.00 μB/f.u.

=====

# 6
Crystalline RbBaPd2 at its relaxed geometry. Source: Alexandria, functional PBE.

Cell: 6.960 6.960 6.960 Å, 102.95 102.95 123.50°
Fractional positions:
Rb  0.000  0.000  0.000
Rb  0.750  0.250  0.500
Ba  0.250  0.750  0.500
Ba  0.500  0.500  0.000
Pd  0.136  0.125  0.511
Pd  0.375  0.864  0.989
Pd  0.614  0.625  0.489
Pd  0.875  0.386  0.011

Results
Space-group type ... I-42d, No. 122
Final energy ... -13.0 eV/f.u.
Calculated volume ... 247.6 Å³/cell
Size of the total moment ... 0.00 μB/f.u.

=====

# 7
Crystalline Cd2CoMo at its relaxed geometry. Source: Alexandria, functional PBE.

Cell: 9.847 9.847 9.847 Å, 16.69 16.69 16.69°
Fractional positions:
Cd  0.000  0.000  0.000
Cd  0.232  0.232  0.232
Co  0.486  0.486  0.486
Mo  0.756  0.756  0.756

Results
Space-group type ... R3m, No. 160
Final energy ... -18.6 eV/f.u.
Calculated volume ... 68.7 Å³/cell
Size of the total moment ... 0.36 μB/f.u.

=====

# 8
Crystalline CsBaSb2Te at its relaxed geometry. Source: Alexandria, functional PBE.

Cell: 6.486 6.486 6.578 Å, 90.00 90.00 90.00°
Fractional positions:
Cs  0.000  0.000  0.000
Ba  0.500  0.500  0.500
Sb  0.000  0.500  0.500
Sb  0.500  0.000  0.500
Te  0.500  0.500  0.000

Results
Space-group type ... P4/mmm, No. 123
Final energy ... -14.0 eV/f.u.
Calculated volume ... 276.8 Å³/cell
Size of the total moment ... 1.19 μB/f.u.
E_form (uncorrected) ... 0.155 eV per formula unit